Li2TbAu3: relaxed, GGA-PBE.

As for the calculated volume: 225.8 Å³/cell. The formation energy is -652 meV per atom. For the energy relative to the lowest polymorph listed for this composition, the calculation gives 0.012 eV per atom.

It has space group P6_3/mmc (No. 194), with a = 4.4836 Å, b = 4.4836 Å, c = 12.9718 Å, α = 90.00°, β = 90.00° and γ = 120.00°. The distinct sites, in fractional coordinates, are Li at (0.3333, 0.6667, 0.0690), Tb at (0.0000, 0.0000, 0.2500), Au at (0.0000, 0.0000, 0.0000) and Au at (0.3333, 0.6667, 0.6324).